Entry 1:
! BeAsOs2, relaxed, DFT PBEsol; values from VASP
! E	-8.036	eV per atom
! energy relative to the elements	0.35	eV per atom
! DOS(E_F)	3.6	states/eV per cell
! offset from the most stable computed form	0	meV/atom
&SYSTEM
  ibrav = 0, nat = 4, ntyp = 3
/
ATOMIC_SPECIES
Be 9.01 Be.upf
As 74.92 As.upf
Os 190.23 Os.upf
ATOMIC_POSITIONS crystal
Be 0.000 0.000 0.000
As 0.500 0.500 0.500
Os 0.254 0.254 0.254
Os 0.746 0.746 0.746
CELL_PARAMETERS angstrom
1.430 0.826 7.351
-1.430 0.826 7.351
0.000 -1.651 7.351



Entry 2:
! MnWBr2, relaxed, DFT PBEsol; values from VASP
! E	-6.626	eV per atom
! E_form (uncorrected)	0.201	eV per atom
! DOS(E_F)	2.7	states/eV per cell
! offset from the most stable computed form	0	meV/atom
&SYSTEM
  ibrav = 0, nat = 4, ntyp = 3
/
ATOMIC_SPECIES
Mn 54.94 Mn.upf
W 183.84 W.upf
Br 79.90 Br.upf
ATOMIC_POSITIONS crystal
Mn 0.000 0.000 0.000
W 0.500 0.500 0.155
Br 0.002 0.500 0.768
Br 0.500 0.000 0.400
CELL_PARAMETERS angstrom
3.255 0.000 0.000
0.000 3.015 0.000
-0.006 0.000 8.293



Entry 3:
! MoRu5, relaxed, DFT PBEsol; values from VASP
! E	-10.448	eV per atom
! energy relative to the elements	-0.01	eV per atom
! DOS(E_F)	5.5	states/eV per cell
! offset from the most stable computed form	8	meV/atom
&SYSTEM
  ibrav = 0, nat = 6, ntyp = 2
/
ATOMIC_SPECIES
Mo 95.94 Mo.upf
Ru 101.07 Ru.upf
ATOMIC_POSITIONS crystal
Mo 0.000 0.000 0.000
Ru 0.000 0.330 0.330
Ru 0.000 0.667 0.667
Ru 0.500 0.111 0.111
Ru 0.500 0.443 0.443
Ru 0.500 0.778 0.778
CELL_PARAMETERS angstrom
4.283 0.000 0.000
0.000 1.356 7.044
0.000 -1.356 7.044